# Cs3NaAg PBE-GGA optimized geometry
# E_form	0.07	eV/atom
# size of the total moment	0.00	μB per cell
# theoretical density	2.25	Mg/m³
# distance to the lowest polymorph of the same formula	36	meV/atom
# electronic total energy	-0.0939	Ry per atom
data_Cs3NaAg
_chemical_formula_sum 'Cs3 Na1 Ag1'
_cell_length_a 7.311
_cell_length_b 7.311
_cell_length_c 7.311
_cell_angle_alpha 90.00
_cell_angle_beta 90.00
_cell_angle_gamma 90.00
_space_group_name_H-M_alt 'P m -3 m'
_space_group_IT_number 221
_space_group_name_Hall '-P 4 2 3'
loop_
_atom_site_label
_atom_site_fract_x
_atom_site_fract_y
_atom_site_fract_z
Cs1 0.000 0.000 0.500
Na1 0.500 0.500 0.500
Ag1 0.000 0.000 0.000

# Cs2NaAg PBE-GGA optimized geometry
# E_form	0.05	eV/atom
# size of the total moment	0.00	μB per cell
# theoretical density	2.80	Mg/m³
# distance to the lowest polymorph of the same formula	31	meV/atom
# electronic total energy	-0.1043	Ry per atom
data_Cs2NaAg
_chemical_formula_sum 'Cs4 Na2 Ag2'
_cell_length_a 5.169
_cell_length_b 11.220
_cell_length_c 8.114
_cell_angle_alpha 90.00
_cell_angle_beta 90.00
_cell_angle_gamma 90.00
_space_group_name_H-M_alt 'I m m 2'
_space_group_IT_number 44
loop_
_space_group_symop_operation_xyz
'x,y,z'
'-x,-y,z'
'-x,y,z'
'x,-y,z'
'x+1/2,y+1/2,z+1/2'
'-x+1/2,-y+1/2,z+1/2'
'-x+1/2,y+1/2,z+1/2'
'x+1/2,-y+1/2,z+1/2'
loop_
_atom_site_label
_atom_site_fract_x
_atom_site_fract_y
_atom_site_fract_z
Cs1 0.000 0.194 0.000
Na1 0.000 0.000 0.475
Ag1 0.000 0.500 0.757

# CsNaAg PBE-GGA optimized geometry
# E_form	0.04	eV/atom
# size of the total moment	0.00	μB per cell
# theoretical density	3.23	Mg/m³
# distance to the lowest polymorph of the same formula	34	meV/atom
# electronic total energy	-0.1204	Ry per atom
data_CsNaAg
_chemical_formula_sum 'Cs2 Na2 Ag2'
_cell_length_a 4.989
_cell_length_b 7.791
_cell_length_c 7.830
_cell_angle_alpha 91.59
_cell_angle_beta 108.49
_cell_angle_gamma 108.46
_space_group_name_H-M_alt 'P 1'
_space_group_IT_number 1
loop_
_space_group_symop_operation_xyz
'x,y,z'
loop_
_atom_site_label
_atom_site_fract_x
_atom_site_fract_y
_atom_site_fract_z
Cs1 0.000 0.000 0.000
Cs2 0.455 0.339 0.563
Na1 0.162 0.772 0.550
Na2 0.821 0.509 0.130
Ag1 0.258 0.597 0.916
Ag2 0.521 0.749 0.292

# Cs2NaAg PBE-GGA optimized geometry
# E_form	0.02	eV/atom
# size of the total moment	0.00	μB per cell
# theoretical density	2.68	Mg/m³
# distance to the lowest polymorph of the same formula	0	meV/atom
# electronic total energy	-0.1066	Ry per atom
data_Cs2NaAg
_chemical_formula_sum 'Cs4 Na2 Ag2'
_cell_length_a 9.357
_cell_length_b 5.410
_cell_length_c 10.190
_cell_angle_alpha 90.00
_cell_angle_beta 107.77
_cell_angle_gamma 90.00
_space_group_name_H-M_alt 'C 1 m 1'
_space_group_IT_number 8
loop_
_space_group_symop_operation_xyz
'x,y,z'
'x,-y,z'
'x+1/2,y+1/2,z'
'x+1/2,-y+1/2,z'
loop_
_atom_site_label
_atom_site_fract_x
_atom_site_fract_y
_atom_site_fract_z
Cs1 0.000 0.000 0.000
Cs2 0.179 0.000 0.537
Na1 0.256 0.500 0.269
Ag1 0.423 0.000 0.267

# CsNa2Ag2 PBE-GGA optimized geometry
# E_form	0.10	eV/atom
# size of the total moment	0.00	μB per cell
# theoretical density	4.00	Mg/m³
# distance to the lowest polymorph of the same formula	80	meV/atom
# electronic total energy	-0.1279	Ry per atom
data_CsNa2Ag2
_chemical_formula_sum 'Cs2 Na4 Ag4'
_cell_length_a 9.084
_cell_length_b 9.084
_cell_length_c 3.975
_cell_angle_alpha 90.00
_cell_angle_beta 90.00
_cell_angle_gamma 90.00
_space_group_name_H-M_alt 'P 4/m b m'
_space_group_IT_number 127
_space_group_name_Hall '-P 4 2ab'
loop_
_atom_site_label
_atom_site_fract_x
_atom_site_fract_y
_atom_site_fract_z
Cs1 0.000 0.000 0.000
Na1 0.152 0.348 0.500
Ag1 0.116 0.616 0.000

# Cs4Na3Ag PBE-GGA optimized geometry
# E_form	0.03	eV/atom
# size of the total moment	0.00	μB per cell
# theoretical density	2.27	Mg/m³
# electronic total energy	-0.0916	Ry per atom
data_Cs4Na3Ag
_chemical_formula_sum 'Cs4 Na3 Ag1'
_cell_length_a 5.779
_cell_length_b 5.845
_cell_length_c 15.323
_cell_angle_alpha 90.00
_cell_angle_beta 90.00
_cell_angle_gamma 90.00
_space_group_name_H-M_alt 'P m m 2'
_space_group_IT_number 25
loop_
_space_group_symop_operation_xyz
'x,y,z'
'-x,-y,z'
'-x,y,z'
'x,-y,z'
loop_
_atom_site_label
_atom_site_fract_x
_atom_site_fract_y
_atom_site_fract_z
Cs1 0.000 0.000 0.000
Cs2 0.000 0.500 0.447
Cs3 0.500 0.000 0.669
Cs4 0.500 0.500 0.187
Na1 0.000 0.500 0.765
Na2 0.500 0.000 0.365
Na3 0.500 0.500 0.896
Ag1 0.000 0.000 0.268

# Cs12Na5Ag3 PBE-GGA optimized geometry
# E_form	0.17	eV/atom
# size of the total moment	0.02	μB per cell
# theoretical density	2.02	Mg/m³
# electronic total energy	-0.0810	Ry per atom
data_Cs12Na5Ag3
_chemical_formula_sum 'Cs96 Na40 Ag24'
_cell_length_a 23.720
_cell_length_b 23.720
_cell_length_c 23.720
_cell_angle_alpha 90.00
_cell_angle_beta 90.00
_cell_angle_gamma 90.00
_space_group_name_H-M_alt 'I a -3 d'
_space_group_IT_number 230
_space_group_name_Hall '-I 4bd 2c 3'
loop_
_atom_site_label
_atom_site_fract_x
_atom_site_fract_y
_atom_site_fract_z
Cs1 0.021 0.087 0.651
Na1 0.000 0.000 0.000
Na2 0.000 0.250 0.375
Ag1 0.000 0.250 0.125

# CsNaAg PBE-GGA optimized geometry
# E_form	0.05	eV/atom
# size of the total moment	0.00	μB per cell
# theoretical density	3.20	Mg/m³
# distance to the lowest polymorph of the same formula	45	meV/atom
# electronic total energy	-0.1196	Ry per atom
data_CsNaAg
_chemical_formula_sum 'Cs2 Na2 Ag2'
_cell_length_a 6.168
_cell_length_b 6.999
_cell_length_c 7.441
_cell_angle_alpha 104.03
_cell_angle_beta 98.54
_cell_angle_gamma 113.92
_space_group_name_H-M_alt 'P 1'
_space_group_IT_number 1
loop_
_space_group_symop_operation_xyz
'x,y,z'
loop_
_atom_site_label
_atom_site_fract_x
_atom_site_fract_y
_atom_site_fract_z
Cs1 0.000 0.000 0.000
Cs2 0.220 0.522 0.706
Na1 0.569 0.929 0.402
Na2 0.738 0.472 0.223
Ag1 0.096 0.932 0.499
Ag2 0.549 0.198 0.793